1.
The following is a DFT calculation (PBE) of a relaxed structure of K5Rh2F12.

```
K5Rh2F12
1.0
6.171 -4.148 0.000
6.171 4.148 0.000
-1.557 0.000 6.270
K Rh F
5 2 12
direct
0.000 0.000 0.000 K
0.252 0.252 0.481 K
0.361 0.361 0.990 K
0.639 0.639 0.010 K
0.748 0.748 0.519 K
0.240 0.760 0.500 Rh
0.760 0.240 0.500 Rh
0.080 0.080 0.659 F
0.115 0.693 0.710 F
0.141 0.569 0.285 F
0.307 0.885 0.290 F
0.431 0.859 0.715 F
0.469 0.469 0.675 F
0.531 0.531 0.325 F
0.569 0.141 0.285 F
0.693 0.115 0.710 F
0.859 0.431 0.715 F
0.885 0.307 0.290 F
0.920 0.920 0.341 F
```

Calculated values
- energy relative to the elements, uncorrected (eV per atom) = -2.042
- distance to the lowest polymorph of the same formula (eV/atom) = 0.0919
- SG = C2/m (12)
- V (Å³/cell) = 321.01

---

2.
The following is a DFT calculation (PBE) of a relaxed structure of FeCoRh6.

```
FeCoRh6
1.0
3.799 0.000 0.000
0.000 3.799 0.000
0.000 0.000 7.607
Fe Co Rh
1 1 6
direct
0.000 0.000 0.000 Fe
0.000 0.000 0.500 Co
0.000 0.500 0.252 Rh
0.000 0.500 0.748 Rh
0.500 0.000 0.252 Rh
0.500 0.000 0.748 Rh
0.500 0.500 0.000 Rh
0.500 0.500 0.500 Rh
```

Calculated values
- energy of formation (meV/atom) = 1
- distance to the lowest polymorph of the same formula (eV/atom) = 0.0000
- SG = P4/mmm (123)
- V (Å³/cell) = 109.78

---

3.
The following is a DFT calculation (PBE) of a relaxed structure of CaSO3.

```
CaSO3
1.0
4.798 0.000 0.000
-2.218 5.854 0.000
-2.251 -0.933 5.774
Ca S O
2 2 6
direct
0.000 0.000 0.000 Ca
0.189 0.393 0.661 Ca
0.380 0.971 0.570 S
0.800 0.467 0.201 S
0.121 0.998 0.643 O
0.438 0.340 0.046 O
0.474 0.787 0.709 O
0.685 0.197 0.689 O
0.940 0.274 0.241 O
0.942 0.623 0.049 O
```

Calculated values
- energy relative to the elements, uncorrected (eV per atom) = -2.048
- SG = P1 (1)
- V (Å³/cell) = 162.17

---

4.
The following is a DFT calculation (PBE) of a relaxed structure of TcMoPd.

```
TcMoPd
1.0
-1.379 1.379 5.989
1.379 -1.379 5.989
1.379 1.379 -5.989
Tc Mo Pd
1 1 1
direct
0.000 0.000 0.000 Tc
0.341 0.341 0.000 Mo
0.670 0.670 0.000 Pd
```

Calculated values
- energy of formation (meV/atom) = 98
- distance to the lowest polymorph of the same formula (eV/atom) = 0.0849
- SG = I4mm (107)
- V (Å³/cell) = 45.59

---

5.
The following is a DFT calculation (PBE) of a relaxed structure of NaLaRuO6.

```
NaLaRuO6
1.0
5.543 0.000 0.000
-2.772 4.801 0.000
0.000 0.000 4.952
Na La Ru O
1 1 1 6
direct
0.000 0.000 0.000 Na
0.667 0.333 0.500 La
0.333 0.667 0.000 Ru
0.051 0.395 0.220 O
0.051 0.656 0.780 O
0.344 0.395 0.780 O
0.344 0.949 0.220 O
0.605 0.656 0.220 O
0.605 0.949 0.780 O
```

Calculated values
- energy relative to the elements, uncorrected (eV per atom) = -1.492
- SG = P312 (149)
- V (Å³/cell) = 131.78

---

6.
The following is a DFT calculation (PBE) of a relaxed structure of Al2SbMo.

```
Al2SbMo
1.0
4.075 0.000 0.000
0.000 1.748 5.217
0.000 -1.748 5.217
Al Sb Mo
2 1 1
direct
0.000 0.000 0.000 Al
0.500 0.438 0.438 Al
0.000 0.744 0.744 Sb
0.500 0.152 0.152 Mo
```

Calculated values
- energy relative to the elements, uncorrected (eV per atom) = 0.065
- SG = Amm2 (38)
- V (Å³/cell) = 74.30